Entry 1:
The following is a DFT calculation (PBE) of crystalline Tb2Er3Th2 at its relaxed geometry.

For the distance to the lowest polymorph of the same formula, the calculation gives 0.0000 eV per atom. Its total moment is 0.00 μB/f.u. Its formation energy is 0.0244 eV per atom.

The structure belongs to space group P-1 (No. 2); the cell edges are 3.5639, 7.8882 and 8.6652 Å and the angles 110.79°, 90.03° and 103.05°. The distinct sites, in fractional coordinates, are Tb at (0.2164, 0.4319, 0.1408), Er at (0.3607, 0.7219, 0.5664), Er at (0.5000, 0.0000, 0.0000) and Th at (0.0701, 0.1394, 0.7125).

---

Entry 2:
The following is a DFT calculation (PBE) of crystalline KTh2Cl8 at its relaxed geometry.

For the distance to the lowest polymorph of the same formula, the calculation gives 0.0000 eV per atom. Its total moment is 1.16 μB/f.u.

The structure belongs to space group C2/m (No. 12); the cell edges are 8.7380, 12.8250 and 5.5420 Å and the angles 90.00°, 100.70° and 90.00°. The distinct sites, in fractional coordinates, are K at (0.0000, 0.0000, 0.0000), Th at (0.0000, 0.3208, 0.5000), Cl at (0.0000, 0.2572, 0.0000), Cl at (0.1082, 0.5000, 0.7863) and Cl at (0.1914, 0.1361, 0.5776).

---

Entry 3:
The following is a DFT calculation (PBE) of crystalline K2CaVGe at its relaxed geometry.

Its total moment is 1.00 μB/f.u. Its formation energy is 1.0831 eV per atom.

The structure belongs to space group P4/mmm (No. 123); the cell edges are 6.3029, 6.3029 and 5.7755 Å and the angles 90.00°, 90.00° and 90.00°. The distinct sites, in fractional coordinates, are K at (0.0000, 0.5000, 0.0000), Ca at (0.0000, 0.0000, 0.5000), V at (0.5000, 0.5000, 0.5000) and Ge at (0.0000, 0.0000, 0.0000).

---

Entry 4:
The following is a DFT calculation (PBE) of crystalline Tb6PS3N2 at its relaxed geometry.

Its total moment is 0.00 μB/f.u.

The structure belongs to space group C2/m (No. 12); the cell edges are 16.7449, 3.7647 and 7.7239 Å and the angles 90.00°, 104.96° and 90.00°. The distinct sites, in fractional coordinates, are Tb at (0.0162, 0.0000, 0.2575), Tb at (0.1695, 0.5000, 0.1169), Tb at (0.1778, 0.5000, 0.5632), P at (0.0000, 0.5000, 0.0000), S at (0.0000, 0.5000, 0.5000), S at (0.1629, 0.0000, 0.8307) and N at (0.1708, 0.0000, 0.3377).

---

| no. | DOS(E_F) (states/eV per atom) | final energy (eV per atom) |
| --- | --- | --- |
| 1 | 1.296 | -5.374 |
| 2 | 0.769 | -4.828 |
| 3 | 1.820 | -2.503 |
| 4 | 0.280 | -7.001 |